Ce3Co4Si | PBE | relaxed

Cell lengths 10.111, 4.847, 11.733 Å; angles 90.00, 94.28, 90.00 degrees
Positions (direct):
Ce  0.005  0.138  0.362
Ce  0.005  0.362  0.862
Ce  0.252  0.186  0.081
Ce  0.252  0.314  0.581
Ce  0.429  0.099  0.361
Ce  0.429  0.401  0.861
Ce  0.571  0.599  0.139
Ce  0.571  0.901  0.639
Ce  0.748  0.686  0.419
Ce  0.748  0.814  0.919
Ce  0.995  0.638  0.138
Ce  0.995  0.862  0.638
Co  0.036  0.631  0.407
Co  0.036  0.869  0.907
Co  0.250  0.620  0.997
Co  0.250  0.880  0.497
Co  0.336  0.729  0.680
Co  0.336  0.771  0.180
Co  0.455  0.566  0.397
Co  0.455  0.934  0.897
Co  0.545  0.066  0.103
Co  0.545  0.434  0.603
Co  0.664  0.229  0.820
Co  0.664  0.271  0.320
Co  0.750  0.120  0.503
Co  0.750  0.380  0.003
Co  0.964  0.131  0.093
Co  0.964  0.369  0.593
Si  0.232  0.611  0.327
Si  0.232  0.889  0.827
Si  0.768  0.111  0.173
Si  0.768  0.389  0.673

Results
- Energy relative to the elements, uncorrected: -0.314 eV/atom

***

Ce3TmPu2S6 | PBE | relaxed

Cell lengths 6.859, 6.859, 6.895 Å; angles 99.55, 99.55, 120.02 degrees
Positions (direct):
Ce  0.000  0.000  0.000
Ce  0.332  0.668  0.000
Ce  0.668  0.332  0.000
Tm  0.500  0.500  0.500
Pu  0.166  0.834  0.500
Pu  0.834  0.166  0.500
S  0.092  0.421  0.261
S  0.252  0.252  0.741
S  0.421  0.092  0.261
S  0.579  0.908  0.739
S  0.748  0.748  0.259
S  0.908  0.579  0.739

Results
- Energy relative to the elements, uncorrected: -1.941 eV/atom

***

Tb5ErGa4 | PBE | relaxed

Cell lengths 8.784, 8.784, 8.729 Å; angles 94.37, 94.37, 24.22 degrees
Positions (direct):
Tb  0.000  0.000  0.000
Tb  0.313  0.313  0.149
Tb  0.350  0.350  0.713
Tb  0.650  0.650  0.287
Tb  0.687  0.687  0.851
Er  0.000  0.000  0.500
Ga  0.184  0.184  0.563
Ga  0.477  0.477  0.248
Ga  0.523  0.523  0.752
Ga  0.816  0.816  0.437

Results
- Energy of formation: -28 kJ per mole of atoms

***

Sequential D(E_F) output: 33.34 26.45 9.16 states/eV/cell
Sequential M_tot output: 0.00 13.07 0.00 μB/f.u.
Sequential V output: 143 265 275 Å³/f.u.